Record 1
Crystalline BeSnPd2 at its relaxed geometry. Source: the Alexandria database, functional PBE.

The calculation puts the density of states at the Fermi level at 5.92 states/eV/cell. Its distance to the lowest polymorph of the same formula is 37.2 meV per atom. As for the energy: -4.877 eV/atom. The calculation puts the energy of formation from the pure elements at -0.35 eV per atom.

The structure belongs to space group Fm-3m (No. 225); the cell edges are 6.246, 6.246 and 6.246 Å and the angles 90.00°, 90.00° and 90.00°. The inequivalent atoms are Be at (0.000, 0.000, 0.000), Sn at (0.000, 0.000, 0.500) and Pd at (0.250, 0.250, 0.250).

Record 2
Crystalline YMoPt2 at its relaxed geometry. Source: the Alexandria database, functional PBE.

The calculation puts the density of states at the Fermi level at 2.96 states/eV/cell. Its distance to the lowest polymorph of the same formula is 139.0 meV per atom. As for the energy: -7.681 eV/atom. The calculation puts the energy of formation from the pure elements at -0.34 eV per atom.

The structure belongs to space group Pmm2 (No. 25); the cell edges are 3.049, 3.898 and 6.267 Å and the angles 90.00°, 90.00° and 90.00°. The inequivalent atoms are Y at (0.000, 0.000, 0.000), Mo at (0.500, 0.500, 0.326), Pt at (0.000, 0.000, 0.494) and Pt at (0.500, 0.500, 0.757).

Record 3
Crystalline U2PN at its relaxed geometry. Source: the Alexandria database, functional PBE.

The calculation puts the density of states at the Fermi level at 15.43 states/eV/cell. Its distance to the lowest polymorph of the same formula is 0.0 meV per atom. As for the energy: -10.136 eV/atom. The formation energy without anion corrections is -1.058 eV per atom.

The structure belongs to space group C2/m (No. 12); the cell edges are 6.353, 3.671 and 6.415 Å and the angles 90.00°, 109.33° and 90.00°. The inequivalent atoms are U at (0.237, 0.000, 0.211), P at (0.000, 0.000, 0.500) and N at (0.000, 0.500, 0.000).